P) # NaTlMo2

A geometry-optimized NaTlMo2 structure (GGA-PBE, Alexandria via LeMat-Bulk).

Computed properties:
Crystal system ... cubic
Total magnetization ... 0.489 μB/atom
Symmetry ... Fm-3m, No. 225

Cell lengths 4.7257, 4.7257, 4.7257 Å; angles 60.00, 60.00, 60.00 degrees
Atoms (fractional coordinates):
Mo 0.7500 0.7500 0.7500
Tl 0.5000 0.5000 0.5000
Na 0.0000 0.0000 0.0000
Mo 0.2500 0.2500 0.2500

=====

Q) # NaTlMo2

A geometry-optimized NaTlMo2 structure (GGA-PBE, Alexandria via LeMat-Bulk).

Computed properties:
Crystal system ... tetragonal
Total magnetization ... 0.000 μB/atom
Symmetry ... I-42d, No. 122

Cell lengths 8.1899, 8.1899, 6.3227 Å; angles 49.63, 49.63, 90.00 degrees
Atoms (fractional coordinates):
Na 0.2500 0.7500 0.5000
Tl 0.7500 0.2500 0.5000
Mo 0.0870 0.6250 0.2500
Mo 0.8750 0.9130 0.7500
Mo 0.6630 0.1250 0.2500
Tl 0.0000 0.0000 0.0000
Mo 0.3750 0.3370 0.7500
Na 0.5000 0.5000 0.0000

=====

Which of them is least stable? Easy: Q).

=====

P) # NaVMo2

A geometry-optimized NaVMo2 structure (GGA-PBE, Alexandria via LeMat-Bulk).

Computed properties:
Crystal system ... cubic
Total magnetization ... 0.000 μB/atom
Symmetry ... Fm-3m, No. 225

Cell lengths 4.4655, 4.4655, 4.4655 Å; angles 60.00, 60.00, 60.00 degrees
Atoms (fractional coordinates):
Mo 0.7500 0.7500 0.7500
Mo 0.2500 0.2500 0.2500
Na 0.0000 0.0000 0.0000
V 0.5000 0.5000 0.5000

=====

Q) # NaVMo2

A geometry-optimized NaVMo2 structure (GGA-PBE, Alexandria via LeMat-Bulk).

Computed properties:
Crystal system ... tetragonal
Total magnetization ... 0.367 μB/atom
Symmetry ... I-42d, No. 122

Cell lengths 3.8117, 3.8117, 10.1068 Å; angles 79.13, 79.13, 90.00 degrees
Atoms (fractional coordinates):
Mo 0.8750 0.9048 0.7500
Mo 0.6548 0.1250 0.2500
Mo 0.3750 0.3452 0.7500
V 0.0000 0.0000 0.0000
Na 0.2500 0.7500 0.5000
V 0.7500 0.2500 0.5000
Na 0.5000 0.5000 0.0000
Mo 0.0952 0.6250 0.2500

=====

Which of them is least stable? Easy: Q).

=====

P) # NaMoW2

A geometry-optimized NaMoW2 structure (GGA-PBE, Alexandria via LeMat-Bulk).

Computed properties:
Crystal system ... tetragonal
Total magnetization ... 0.000 μB/atom
Symmetry ... I-42d, No. 122

Cell lengths 7.3736, 7.3736, 5.8930 Å; angles 51.27, 51.27, 90.00 degrees
Atoms (fractional coordinates):
W 0.6593 0.1250 0.2500
Mo 0.0000 0.0000 0.0000
W 0.8750 0.9093 0.7500
W 0.0907 0.6250 0.2500
Mo 0.7500 0.2500 0.5000
W 0.3750 0.3407 0.7500
Na 0.5000 0.5000 0.0000
Na 0.2500 0.7500 0.5000

=====

Q) # NaMoW2

A geometry-optimized NaMoW2 structure (GGA-PBE, Alexandria via LeMat-Bulk).

Computed properties:
Crystal system ... cubic
Total magnetization ... 0.000 μB/atom
Symmetry ... Fm-3m, No. 225

Cell lengths 4.5370, 4.5370, 4.5370 Å; angles 60.00, 60.00, 60.00 degrees
Atoms (fractional coordinates):
Mo 0.5000 0.5000 0.5000
W 0.7500 0.7500 0.7500
W 0.2500 0.2500 0.2500
Na 0.0000 0.0000 0.0000

=====

Which of them is least stable? Easy: P).